NiINF2 | PBEsol | relaxed

Structure (extended XYZ):
```
5
Lattice="4.009 0.000 0.000 0.000 4.562 0.000 0.000 0.000 4.562" Properties=species:S:1:pos:R:3 pbc="T T T"
F 0.000 0.000 2.281
F 0.000 2.281 0.000
Ni 2.004 2.281 2.281
I 0.000 0.000 0.000
N 2.004 0.000 0.000
```

V ... 83 Å³/cell
E_form (uncorrected) ... 16.6 kcal/mol of atoms
Distance to the lowest polymorph of the same formula ... 842 meV/atom
Spin magnetization ... 0.1925 μB/atom

NiINF2 | PBEsol | relaxed

Structure (extended XYZ):
```
5
Lattice="-2.684 1.270 -2.233 -2.569 -1.303 2.346 0.022 3.895 2.188" Properties=species:S:1:pos:R:3 pbc="T T T"
N 0.011 1.947 1.094
I -2.615 1.931 1.151
F -1.285 -0.652 1.173
F -1.342 0.635 -1.117
Ni 0.000 0.000 0.000
```

V ... 62 Å³/cell
E_form (uncorrected) ... -2.9 kcal/mol of atoms
Distance to the lowest polymorph of the same formula ... 0 meV/atom
Spin magnetization ... 0.0002 μB/atom

PdINF2 | PBEsol | relaxed

Structure (extended XYZ):
```
5
Lattice="-1.726 3.423 0.983 -3.111 -2.110 1.883 2.153 0.048 3.611" Properties=species:S:1:pos:R:3 pbc="T T T"
N -0.863 1.712 0.492
Pd 0.000 0.000 0.000
I -1.342 0.681 3.239
F -1.556 -1.055 0.942
F 1.077 0.024 1.805
```

V ... 70 Å³/cell
E_form (uncorrected) ... 1.6 kcal/mol of atoms
Spin magnetization ... 0.0029 μB/atom

PtIN2F | PBEsol | relaxed

Structure (extended XYZ):
```
5
Lattice="-2.019 -3.381 0.437 2.140 -1.652 -2.896 2.854 -1.333 2.868" Properties=species:S:1:pos:R:3 pbc="T T T"
N -1.009 -1.690 0.218
N 1.070 -0.826 -1.448
I 1.487 -3.183 0.204
Pt 0.000 0.000 0.000
F 1.427 -0.667 1.434
```

V ... 67 Å³/cell
E_form (uncorrected) ... 20.9 kcal/mol of atoms
Spin magnetization ... 0.0139 μB/atom

RbI2NF | PBEsol | relaxed

Structure (extended XYZ):
```
5
Lattice="6.007 0.000 0.000 0.000 6.858 0.000 0.000 0.000 6.858" Properties=species:S:1:pos:R:3 pbc="T T T"
I 0.000 0.000 3.429
I 0.000 3.429 0.000
Rb 0.000 0.000 0.000
N 3.003 0.000 0.000
F 3.003 3.429 3.429
```

V ... 283 Å³/cell
E_form (uncorrected) ... 21.7 kcal/mol of atoms
Spin magnetization ... 1.0025 μB/atom

RhIN2F | PBEsol | relaxed

Structure (extended XYZ):
```
5
Lattice="4.099 0.000 0.000 0.000 4.099 0.000 0.000 0.000 4.224" Properties=species:S:1:pos:R:3 pbc="T T T"
I 0.000 0.000 0.000
N 2.050 0.000 0.000
N 0.000 2.050 0.000
Rh 2.050 2.050 2.112
F 0.000 0.000 2.112
```

V ... 71 Å³/cell
E_form (uncorrected) ... 39.9 kcal/mol of atoms
Spin magnetization ... 0.4875 μB/atom

ScI2NF | PBEsol | relaxed

Structure (extended XYZ):
```
5
Lattice="3.616 0.000 0.000 0.000 5.441 0.000 0.000 0.000 5.441" Properties=species:S:1:pos:R:3 pbc="T T T"
I 0.000 2.720 0.000
I 0.000 0.000 2.720
F 0.000 0.000 0.000
N 1.808 0.000 0.000
Sc 1.808 2.720 2.720
```

V ... 107 Å³/cell
E_form (uncorrected) ... 11.4 kcal/mol of atoms
Spin magnetization ... 0.2909 μB/atom

SnINF2 | PBEsol | relaxed

Structure (extended XYZ):
```
5
Lattice="-1.133 -0.800 -3.822 -4.425 -0.932 1.507 -1.172 4.579 -0.610" Properties=species:S:1:pos:R:3 pbc="T T T"
N -0.567 -0.400 -1.911
Sn -3.365 1.424 -1.463
F -0.586 2.290 -0.305
F -2.212 -0.466 0.753
I 0.000 0.000 0.000
```

V ... 92 Å³/cell
E_form (uncorrected) ... 1.6 kcal/mol of atoms
Spin magnetization ... 0.0001 μB/atom

SrI2NF | PBEsol | relaxed

Structure (extended XYZ):
```
5
Lattice="-1.431 2.012 3.048 -5.067 0.437 -2.667 -1.708 -4.910 2.440" Properties=species:S:1:pos:R:3 pbc="T T T"
Sr -4.103 -1.230 1.410
N -0.715 1.006 1.524
I -2.533 0.219 -1.333
I -0.854 -2.455 1.220
F 0.000 0.000 0.000
```

V ... 129 Å³/cell
E_form (uncorrected) ... 0.4 kcal/mol of atoms
Spin magnetization ... 0.4399 μB/atom

TaIN2F | PBEsol | relaxed

Structure (extended XYZ):
```
5
Lattice="3.934 0.000 0.000 0.000 3.934 0.000 0.000 0.000 5.688" Properties=species:S:1:pos:R:3 pbc="T T T"
N 1.967 0.000 0.000
N 0.000 1.967 0.000
F 1.967 1.967 2.844
Ta 0.000 0.000 0.000
I 0.000 0.000 2.844
```

V ... 88 Å³/cell
E_form (uncorrected) ... 2.3 kcal/mol of atoms
Spin magnetization ... 0.0618 μB/atom

TeIN2F | PBEsol | relaxed

Structure (extended XYZ):
```
5
Lattice="-0.303 -2.510 -2.921 3.478 -1.437 0.874 -2.736 -4.235 3.924" Properties=species:S:1:pos:R:3 pbc="T T T"
Te -1.368 -2.118 1.962
I 0.000 0.000 0.000
F 0.219 -4.091 0.939
N 1.739 -0.718 0.437
N -0.152 -1.255 -1.460
```

V ... 95 Å³/cell
E_form (uncorrected) ... 33.1 kcal/mol of atoms
Distance to the lowest polymorph of the same formula ... 0 meV/atom
Spin magnetization ... 0.0000 μB/atom

TeIN2F | PBEsol | relaxed

Structure (extended XYZ):
```
5
Lattice="4.252 0.000 0.000 0.000 4.684 0.000 0.000 0.000 4.684" Properties=species:S:1:pos:R:3 pbc="T T T"
F 0.000 0.000 0.000
I 2.126 0.000 0.000
Te 2.126 2.342 2.342
N 0.000 2.342 0.000
N 0.000 0.000 2.342
```

V ... 93 Å³/cell
E_form (uncorrected) ... 45.3 kcal/mol of atoms
Distance to the lowest polymorph of the same formula ... 528 meV/atom
Spin magnetization ... 0.7980 μB/atom

Which formula does entry 2 have? NiINF2

Repeat the third record exactly.
PdINF2 | PBEsol | relaxed

Structure (extended XYZ):
```
5
Lattice="-1.726 3.423 0.983 -3.111 -2.110 1.883 2.153 0.048 3.611" Properties=species:S:1:pos:R:3 pbc="T T T"
N -0.863 1.712 0.492
Pd 0.000 0.000 0.000
I -1.342 0.681 3.239
F -1.556 -1.055 0.942
F 1.077 0.024 1.805
```

V ... 70 Å³/cell
E_form (uncorrected) ... 1.6 kcal/mol of atoms
Spin magnetization ... 0.0029 μB/atom